# 1
The following is a PBE calculation of a relaxed CdNiSb2 crystal, from Alexandria via LeMat-Bulk.

Calculated values
Formation energy (no corrections), eV/atom: -0.05
N(E_F), states/eV/cell: 1.65

a b c (Å): 7.0080 7.0080 7.0080
angles (deg): 33.52 33.52 33.52
Sites, in units of the cell vectors:
1 Cd 0.0000 0.0000 0.0000
2 Ni 0.1586 0.1586 0.1586
3 Sb 0.5561 0.5561 0.5561
4 Sb 0.7716 0.7716 0.7716

---

# 2
The following is a PBE calculation of a relaxed Cd2NiSb2 crystal, from Alexandria via LeMat-Bulk.

Calculated values
Distance to the lowest polymorph of the same formula, eV per atom: 0.4961
Formation energy (no corrections), eV/atom: 0.61
N(E_F), states/eV/cell: 4.76

a b c (Å): 8.3760 8.3760 8.3760
angles (deg): 151.77 151.77 40.36
Sites, in units of the cell vectors:
1 Cd 0.0859 0.0859 0.0000
2 Cd 0.9141 0.9141 0.0000
3 Ni 0.5000 0.5000 0.0000
4 Sb 0.2500 0.7500 0.5000
5 Sb 0.7500 0.2500 0.5000

---

# 3
The following is a PBE calculation of a relaxed CdNiSb2 crystal, from Alexandria via LeMat-Bulk.

Calculated values
Formation energy (no corrections), eV/atom: 0.13
N(E_F), states/eV/cell: 1.99

a b c (Å): 9.0371 9.0371 9.0371
angles (deg): 21.87 21.87 21.87
Sites, in units of the cell vectors:
1 Cd 0.0000 0.0000 0.0000
2 Ni 0.2621 0.2621 0.2621
3 Sb 0.5359 0.5359 0.5359
4 Sb 0.7650 0.7650 0.7650

---

# 4
The following is a PBE calculation of a relaxed Cd2NiSb crystal, from Alexandria via LeMat-Bulk.

Calculated values
Formation energy (no corrections), eV/atom: -0.01
N(E_F), states/eV/cell: 1.74

a b c (Å): 6.8608 6.8608 6.8608
angles (deg): 154.63 141.43 46.73
Sites, in units of the cell vectors:
1 Cd 0.0000 0.0000 0.0000
2 Cd 0.6676 0.1676 0.5000
3 Ni 0.4830 0.4830 0.0000
4 Sb 0.3141 0.8141 0.5000

---

# 5
The following is a PBE calculation of a relaxed CdNiSb2 crystal, from Alexandria via LeMat-Bulk.

Calculated values
Formation energy (no corrections), eV/atom: 0.04
N(E_F), states/eV/cell: 0.58

a b c (Å): 3.1957 3.1957 8.6029
angles (deg): 90.00 90.00 90.00
Sites, in units of the cell vectors:
1 Cd 0.0000 0.0000 0.0000
2 Ni 0.5000 0.5000 0.2011
3 Sb 0.0000 0.0000 0.3660
4 Sb 0.5000 0.5000 0.7292

---

# 6
The following is a PBE calculation of a relaxed Cd2NiSb crystal, from Alexandria via LeMat-Bulk.

Calculated values
Formation energy (no corrections), eV/atom: 0.26
N(E_F), states/eV/cell: 3.32

a b c (Å): 4.8658 4.8658 4.8658
angles (deg): 60.00 60.00 60.00
Sites, in units of the cell vectors:
1 Cd 0.0000 0.0000 0.0000
2 Cd 0.2500 0.2500 0.2500
3 Ni 0.7500 0.7500 0.7500
4 Sb 0.5000 0.5000 0.5000

---

# 7
The following is a PBE calculation of a relaxed CdNiSb2 crystal, from Alexandria via LeMat-Bulk.

Calculated values
Formation energy (no corrections), eV/atom: 0.06
N(E_F), states/eV/cell: 1.73

a b c (Å): 7.1301 7.1301 7.1301
angles (deg): 153.54 145.84 43.72
Sites, in units of the cell vectors:
1 Cd 0.0000 0.0000 0.0000
2 Ni 0.7927 0.2927 0.5000
3 Sb 0.3317 0.8317 0.5000
4 Sb 0.6376 0.6376 0.0000

---

# 8
The following is a PBE calculation of a relaxed CdNiSb2 crystal, from Alexandria via LeMat-Bulk.

Calculated values
Formation energy (no corrections), eV/atom: 0.32
N(E_F), states/eV/cell: 2.88

a b c (Å): 5.6269 5.6269 5.6269
angles (deg): 135.23 135.23 65.17
Sites, in units of the cell vectors:
1 Cd 0.0000 0.0000 0.0000
2 Ni 0.2500 0.7500 0.5000
3 Sb 0.5000 0.5000 0.0000
4 Sb 0.7500 0.2500 0.5000

---

# 9
The following is a PBE calculation of a relaxed Cd2NiSb crystal, from Alexandria via LeMat-Bulk.

Calculated values
Formation energy (no corrections), eV/atom: 0.19
N(E_F), states/eV/cell: 1.81

a b c (Å): 4.3508 4.3508 4.3407
angles (deg): 90.00 90.00 99.75
Sites, in units of the cell vectors:
1 Cd 0.0000 0.5000 0.0000
2 Cd 0.5000 0.0000 0.0000
3 Ni 0.0000 0.0000 0.5000
4 Sb 0.5000 0.5000 0.5000

---

# 10
The following is a PBE calculation of a relaxed CdNiSb2 crystal, from Alexandria via LeMat-Bulk.

Calculated values
Formation energy (no corrections), eV/atom: 0.41
N(E_F), states/eV/cell: 2.90

a b c (Å): 5.0040 5.0040 5.0040
angles (deg): 60.00 60.00 60.00
Sites, in units of the cell vectors:
1 Cd 0.0000 0.0000 0.0000
2 Ni 0.7500 0.7500 0.7500
3 Sb 0.2500 0.2500 0.2500
4 Sb 0.5000 0.5000 0.5000

---

# 11
The following is a PBE calculation of a relaxed CdNi2Sb2 crystal, from Alexandria via LeMat-Bulk.

Calculated values
Distance to the lowest polymorph of the same formula, eV per atom: 0.0535
Formation energy (no corrections), eV/atom: 0.08
N(E_F), states/eV/cell: 3.37

a b c (Å): 6.2179 6.2179 6.2179
angles (deg): 138.68 138.68 59.86
Sites, in units of the cell vectors:
1 Cd 0.0000 0.0000 0.0000
2 Ni 0.2500 0.7500 0.5000
3 Ni 0.7500 0.2500 0.5000
4 Sb 0.3652 0.3652 0.0000
5 Sb 0.6348 0.6348 0.0000

---

# 12
The following is a PBE calculation of a relaxed Cd2NiSb2 crystal, from Alexandria via LeMat-Bulk.

Calculated values
Distance to the lowest polymorph of the same formula, eV per atom: 0.0000
Formation energy (no corrections), eV/atom: 0.11
N(E_F), states/eV/cell: 4.32

a b c (Å): 6.6588 6.6588 5.4287
angles (deg): 90.00 90.00 90.00
Sites, in units of the cell vectors:
1 Cd 0.1704 0.3296 0.0000
2 Cd 0.3296 0.8296 0.0000
3 Cd 0.6704 0.1704 0.0000
4 Cd 0.8296 0.6704 0.0000
5 Ni 0.0000 0.0000 0.5000
6 Ni 0.5000 0.5000 0.5000
7 Sb 0.1580 0.6580 0.5000
8 Sb 0.3420 0.1580 0.5000
9 Sb 0.6580 0.8420 0.5000
10 Sb 0.8420 0.3420 0.5000

---

# 13
The following is a PBE calculation of a relaxed CdNiSb3 crystal, from Alexandria via LeMat-Bulk.

Calculated values
Distance to the lowest polymorph of the same formula, eV per atom: 0.9718
Formation energy (no corrections), eV/atom: 1.26
N(E_F), states/eV/cell: 4.89

a b c (Å): 5.4492 5.4492 5.4492
angles (deg): 90.00 90.00 90.00
Sites, in units of the cell vectors:
1 Cd 0.0000 0.0000 0.0000
2 Ni 0.5000 0.5000 0.5000
3 Sb 0.0000 0.0000 0.5000
4 Sb 0.0000 0.5000 0.0000
5 Sb 0.5000 0.0000 0.0000

---

# 14
The following is a PBE calculation of a relaxed Cd2NiSb crystal, from Alexandria via LeMat-Bulk.

Calculated values
Formation energy (no corrections), eV/atom: 0.07
N(E_F), states/eV/cell: 2.11

a b c (Å): 4.9152 3.4278 5.8989
angles (deg): 90.00 109.33 90.00
Sites, in units of the cell vectors:
1 Cd 0.0000 0.0000 0.0000
2 Cd 0.3720 0.5000 0.7551
3 Ni 0.8184 0.5000 0.6253
4 Sb 0.6304 0.0000 0.3143

---

# 15
The following is a PBE calculation of a relaxed Cd4NiSb crystal, from Alexandria via LeMat-Bulk.

Calculated values
Distance to the lowest polymorph of the same formula, eV per atom: 0.0000
Formation energy (no corrections), eV/atom: 0.02
N(E_F), states/eV/cell: 5.58

a b c (Å): 7.9073 7.9073 5.3756
angles (deg): 92.92 92.92 60.72
Sites, in units of the cell vectors:
1 Cd 0.1770 0.5786 0.4688
2 Cd 0.2022 0.7978 0.0000
3 Cd 0.3296 0.3296 0.9563
4 Cd 0.4214 0.8230 0.5312
5 Cd 0.5786 0.1770 0.4688
6 Cd 0.6704 0.6704 0.0437
7 Cd 0.7978 0.2022 0.0000
8 Cd 0.8230 0.4214 0.5312
9 Ni 0.5000 0.5000 0.2439
10 Ni 0.5000 0.5000 0.7561
11 Sb 0.1663 0.1663 0.2615
12 Sb 0.8337 0.8337 0.7385

---

# 16
The following is a PBE calculation of a relaxed CdNiSb2 crystal, from Alexandria via LeMat-Bulk.

Calculated values
Formation energy (no corrections), eV/atom: 0.29
N(E_F), states/eV/cell: 1.80

a b c (Å): 4.8896 4.8896 3.7706
angles (deg): 92.37 92.37 104.28
Sites, in units of the cell vectors:
1 Cd 0.0000 0.0000 0.0000
2 Ni 0.5000 0.5000 0.0000
3 Sb 0.0000 0.5000 0.5000
4 Sb 0.5000 0.0000 0.5000

---

# 17
The following is a PBE calculation of a relaxed CdNi2Sb2 crystal, from Alexandria via LeMat-Bulk.

Calculated values
Distance to the lowest polymorph of the same formula, eV per atom: 0.0000
Formation energy (no corrections), eV/atom: 0.02
N(E_F), states/eV/cell: 6.54

a b c (Å): 7.1286 7.1286 3.6328
angles (deg): 90.00 90.00 90.00
Sites, in units of the cell vectors:
1 Cd 0.0000 0.0000 0.0000
2 Cd 0.5000 0.5000 0.0000
3 Ni 0.1285 0.3715 0.0000
4 Ni 0.3715 0.8715 0.0000
5 Ni 0.6285 0.1285 0.0000
6 Ni 0.8715 0.6285 0.0000
7 Sb 0.1631 0.6631 0.5000
8 Sb 0.3369 0.1631 0.5000
9 Sb 0.6631 0.8369 0.5000
10 Sb 0.8369 0.3369 0.5000

---

# 18
The following is a PBE calculation of a relaxed Cd2NiSb crystal, from Alexandria via LeMat-Bulk.

Calculated values
Formation energy (no corrections), eV/atom: 0.20
N(E_F), states/eV/cell: 2.37

a b c (Å): 3.2231 5.3929 4.7315
angles (deg): 90.00 92.73 90.00
Sites, in units of the cell vectors:
1 Cd 0.2452 0.0000 0.2426
2 Cd 0.7548 0.0000 0.7574
3 Ni 0.0000 0.5000 0.0000
4 Sb 0.5000 0.5000 0.5000

---

# 19
The following is a PBE calculation of a relaxed Cd2NiSb crystal, from Alexandria via LeMat-Bulk.

Calculated values
Formation energy (no corrections), eV/atom: 0.03
N(E_F), states/eV/cell: 2.17

a b c (Å): 4.6290 4.6290 6.7796
angles (deg): 110.18 110.18 41.04
Sites, in units of the cell vectors:
1 Cd 0.0000 0.0000 0.0000
2 Cd 0.1998 0.1998 0.7185
3 Ni 0.6472 0.6472 0.3637
4 Sb 0.3606 0.3606 0.3534

---

# 20
The following is a PBE calculation of a relaxed Cd2NiSb crystal, from Alexandria via LeMat-Bulk.

Calculated values
Formation energy (no corrections), eV/atom: 0.02
N(E_F), states/eV/cell: 1.84

a b c (Å): 3.1265 3.1265 8.5619
angles (deg): 90.00 90.00 90.00
Sites, in units of the cell vectors:
1 Cd 0.0000 0.0000 0.0000
2 Cd 0.5000 0.5000 0.2726
3 Ni 0.0000 0.0000 0.4802
4 Sb 0.5000 0.5000 0.6558

---

It is found that the total energy values, taken in the order of the records, are -3.79 -2.56 -3.61 -2.95 -3.69 -2.67 -3.68 -3.41 -2.74 -3.33 -4.07 -3.06 -2.55 -2.86 -2.24 -3.44 -4.12 -2.73 -2.90 -2.91 eV per atom.